# MgBS2N PBE relaxed
# - size of the total moment (μB/f.u.) = 0.16
# - calculated volume (Å³/cell) = 71.5
# - ΔE to the lowest computed polymorph (meV per atom) = 0
# - final energy (eV per atom) = -4.954
data_MgBS2N
_cell_length_a 5.1376
_cell_length_b 5.1376
_cell_length_c 2.7085
_cell_angle_alpha 90.00
_cell_angle_beta 90.00
_cell_angle_gamma 90.00
_space_group_name_H-M_alt 'P 4/m m m'
_space_group_IT_number 123
_space_group_name_Hall '-P 4 2'
loop_
_atom_site_label
_atom_site_fract_x
_atom_site_fract_y
_atom_site_fract_z
Mg1 0.0000 0.0000 0.0000
B1 0.5000 0.5000 0.5000
S1 0.0000 0.5000 0.5000
N1 0.5000 0.5000 0.0000